# 1
# BeAg2Pb | the Alexandria database | GGA-PBEsol | optimized geometry
data_BeAg2Pb
_cell_length_a 4.024
_cell_length_b 4.024
_cell_length_c 8.709
_cell_angle_alpha 90.00
_cell_angle_beta 90.00
_cell_angle_gamma 90.00
_space_group_name_H-M_alt 'I 4/m m m'
_space_group_IT_number 139
_space_group_name_Hall '-I 4 2'
loop_
_atom_site_label
_atom_site_type_symbol
_atom_site_fract_x
_atom_site_fract_y
_atom_site_fract_z
Be1 Be 0.000 0.000 0.000
Ag1 Ag 0.000 0.500 0.250
Pb1 Pb 0.000 0.000 0.500
# DFT formation energy	0.37	eV/atom

=====

# 2
# Zn7Cd | the Alexandria database | GGA-PBEsol | optimized geometry
data_Zn7Cd
_cell_length_a 7.841
_cell_length_b 7.841
_cell_length_c 7.841
_cell_angle_alpha 90.00
_cell_angle_beta 90.00
_cell_angle_gamma 90.00
_space_group_name_H-M_alt 'F m -3 m'
_space_group_IT_number 225
_space_group_name_Hall '-F 4 2 3'
loop_
_atom_site_label
_atom_site_type_symbol
_atom_site_fract_x
_atom_site_fract_y
_atom_site_fract_z
Zn1 Zn 0.000 0.000 0.000
Zn2 Zn 0.000 0.250 0.250
Cd1 Cd 0.000 0.000 0.500
# DFT formation energy	0.06	eV/atom

=====

# 3
# KRh3W | the Alexandria database | GGA-PBEsol | optimized geometry
data_KRh3W
_cell_length_a 4.727
_cell_length_b 4.727
_cell_length_c 4.727
_cell_angle_alpha 90.00
_cell_angle_beta 90.00
_cell_angle_gamma 90.00
_space_group_name_H-M_alt 'P m -3 m'
_space_group_IT_number 221
_space_group_name_Hall '-P 4 2 3'
loop_
_atom_site_label
_atom_site_type_symbol
_atom_site_fract_x
_atom_site_fract_y
_atom_site_fract_z
K1 K 0.000 0.000 0.000
Rh1 Rh 0.000 0.500 0.500
W1 W 0.500 0.500 0.500
# DFT formation energy	0.96	eV/atom

=====

# 4
# LiFeP | the Alexandria database | GGA-PBEsol | optimized geometry
data_LiFeP
_cell_length_a 3.646
_cell_length_b 3.646
_cell_length_c 5.819
_cell_angle_alpha 90.00
_cell_angle_beta 90.00
_cell_angle_gamma 90.00
_space_group_name_H-M_alt 'P 4/n m m'
_space_group_IT_number 129
loop_
_space_group_symop_operation_xyz
'x,y,z'
'-x,-y,-z'
'-y+1/2,x,z'
'y+1/2,-x,-z'
'-x+1/2,-y+1/2,z'
'x+1/2,y+1/2,-z'
'y,-x+1/2,z'
'-y,x+1/2,-z'
'x+1/2,-y,-z'
'-x+1/2,y,z'
'-y,-x,-z'
'y,x,z'
'-x,y+1/2,-z'
'x,-y+1/2,z'
'y+1/2,x+1/2,-z'
'-y+1/2,-x+1/2,z'
loop_
_atom_site_label
_atom_site_type_symbol
_atom_site_fract_x
_atom_site_fract_y
_atom_site_fract_z
Li1 Li 0.250 0.250 0.154
Fe1 Fe 0.250 0.750 0.500
P1 P 0.250 0.250 0.707
# DFT formation energy	-0.70	eV/atom

=====

# 5
# SnHPb2 | the Alexandria database | GGA-PBEsol | optimized geometry
data_SnHPb2
_cell_length_a 7.216
_cell_length_b 7.216
_cell_length_c 7.216
_cell_angle_alpha 90.00
_cell_angle_beta 90.00
_cell_angle_gamma 90.00
_space_group_name_H-M_alt 'F m -3 m'
_space_group_IT_number 225
_space_group_name_Hall '-F 4 2 3'
loop_
_atom_site_label
_atom_site_type_symbol
_atom_site_fract_x
_atom_site_fract_y
_atom_site_fract_z
Sn1 Sn 0.000 0.000 0.000
H1 H 0.000 0.000 0.500
Pb1 Pb 0.250 0.250 0.250
# raw total energy	-55.9	eV per cell

=====

# 6
# Sc4Al3 | the Alexandria database | GGA-PBEsol | optimized geometry
data_Sc4Al3
_cell_length_a 3.139
_cell_length_b 3.139
_cell_length_c 28.189
_cell_angle_alpha 90.00
_cell_angle_beta 90.00
_cell_angle_gamma 90.00
_space_group_name_H-M_alt 'I 4/m m m'
_space_group_IT_number 139
_space_group_name_Hall '-I 4 2'
loop_
_atom_site_label
_atom_site_type_symbol
_atom_site_fract_x
_atom_site_fract_y
_atom_site_fract_z
Sc1 Sc 0.000 0.000 0.069
Sc2 Sc 0.000 0.000 0.347
Al1 Al 0.000 0.000 0.221
Al2 Al 0.000 0.000 0.500
# DFT formation energy	-0.27	eV/atom

=====

# 7
# ZrTlMoRu2 | the Alexandria database | GGA-PBEsol | optimized geometry
data_ZrTlMoRu2
_cell_length_a 4.777
_cell_length_b 4.777
_cell_length_c 4.866
_cell_angle_alpha 90.00
_cell_angle_beta 90.00
_cell_angle_gamma 90.00
_space_group_name_H-M_alt 'P 4/m m m'
_space_group_IT_number 123
_space_group_name_Hall '-P 4 2'
loop_
_atom_site_label
_atom_site_type_symbol
_atom_site_fract_x
_atom_site_fract_y
_atom_site_fract_z
Zr1 Zr 0.000 0.000 0.000
Tl1 Tl 0.500 0.500 0.500
Mo1 Mo 0.500 0.500 0.000
Ru1 Ru 0.000 0.500 0.500
# DFT formation energy	2.14	eV/atom

=====

# 8
# InSiW | the Alexandria database | GGA-PBEsol | optimized geometry
data_InSiW
_cell_length_a 2.838
_cell_length_b 2.838
_cell_length_c 12.880
_cell_angle_alpha 90.00
_cell_angle_beta 90.00
_cell_angle_gamma 90.00
_space_group_name_H-M_alt 'I 4 m m'
_space_group_IT_number 107
_space_group_name_Hall 'I 4 -2'
loop_
_atom_site_label
_atom_site_type_symbol
_atom_site_fract_x
_atom_site_fract_y
_atom_site_fract_z
In1 In 0.000 0.000 0.000
Si1 Si 0.000 0.000 0.692
W1 W 0.000 0.000 0.327
# ΔE_f (raw)	0.51	eV per atom

=====

# 9
# MgSiSe2 | the Alexandria database | GGA-PBEsol | optimized geometry
data_MgSiSe2
_cell_length_a 7.452
_cell_length_b 7.173
_cell_length_c 3.716
_cell_angle_alpha 90.00
_cell_angle_beta 119.60
_cell_angle_gamma 90.00
_space_group_name_H-M_alt 'C 1 2/m 1'
_space_group_IT_number 12
loop_
_space_group_symop_operation_xyz
'x,y,z'
'-x,-y,-z'
'-x,y,-z'
'x,-y,z'
'x+1/2,y+1/2,z'
'-x+1/2,-y+1/2,-z'
'-x+1/2,y+1/2,-z'
'x+1/2,-y+1/2,z'
loop_
_atom_site_label
_atom_site_type_symbol
_atom_site_fract_x
_atom_site_fract_y
_atom_site_fract_z
Mg1 Mg 0.000 0.000 0.000
Si1 Si 0.000 0.500 0.000
Se1 Se 0.250 0.250 0.500
# ΔE_f (raw)	-0.27	eV per atom

=====

# 10
# YCr2Pb | the Alexandria database | GGA-PBEsol | optimized geometry
data_YCr2Pb
_cell_length_a 3.2483
_cell_length_b 3.2483
_cell_length_c 28.3341
_cell_angle_alpha 90.00
_cell_angle_beta 90.00
_cell_angle_gamma 120.00
_space_group_name_H-M_alt 'R -3 m'
_space_group_IT_number 166
_space_group_name_Hall '-R 3 2"'
loop_
_atom_site_label
_atom_site_type_symbol
_atom_site_fract_x
_atom_site_fract_y
_atom_site_fract_z
Y1 Y 0.0000 0.0000 0.0000
Cr1 Cr 0.0000 0.0000 0.2489
Pb1 Pb 0.0000 0.0000 0.5000
# DFT formation energy	0.82	eV/atom

=====

# 11
# BeCu2Si | the Alexandria database | GGA-PBEsol | optimized geometry
data_BeCu2Si
_cell_length_a 8.100
_cell_length_b 2.627
_cell_length_c 4.175
_cell_angle_alpha 90.00
_cell_angle_beta 100.56
_cell_angle_gamma 90.00
_space_group_name_H-M_alt 'C 1 m 1'
_space_group_IT_number 8
loop_
_space_group_symop_operation_xyz
'x,y,z'
'x,-y,z'
'x+1/2,y+1/2,z'
'x+1/2,-y+1/2,z'
loop_
_atom_site_label
_atom_site_type_symbol
_atom_site_fract_x
_atom_site_fract_y
_atom_site_fract_z
Be1 Be 0.000 0.000 0.000
Cu1 Cu 0.255 0.000 0.787
Cu2 Cu 0.497 0.000 0.500
Si1 Si 0.247 0.500 0.270
# ΔE_f (raw)	0.01	eV per atom

=====

# 12
# TaNi2W | the Alexandria database | GGA-PBEsol | optimized geometry
data_TaNi2W
_cell_length_a 5.352
_cell_length_b 7.467
_cell_length_c 2.676
_cell_angle_alpha 90.00
_cell_angle_beta 90.00
_cell_angle_gamma 90.00
_space_group_name_H-M_alt 'C m m m'
_space_group_IT_number 65
_space_group_name_Hall '-C 2 2'
loop_
_atom_site_label
_atom_site_type_symbol
_atom_site_fract_x
_atom_site_fract_y
_atom_site_fract_z
Ta1 Ta 0.000 0.000 0.000
Ni1 Ni 0.250 0.250 0.500
W1 W 0.000 0.500 0.000
# DFT formation energy	-0.08	eV/atom